# Li3CdPd3 PBE relaxed
# ΔE to the lowest computed polymorph: 0.000 eV per atom
# formation energy from the elements: -0.39 eV/atom
data_Li3CdPd3
_chemical_formula_sum 'Li12 Cd4 Pd12'
_space_group_name_H-M_alt 'C m m m'
_space_group_IT_number 65
_space_group_name_Hall '-C 2 2'
_cell_length_a 8.281
_cell_length_b 8.973
_cell_length_c 6.004
_cell_angle_alpha 90.00
_cell_angle_beta 90.00
_cell_angle_gamma 90.00
loop_
_atom_site_label
_atom_site_fract_x
_atom_site_fract_y
_atom_site_fract_z
Li1 0.000 0.234 0.000
Li2 0.000 0.246 0.500
Li3 0.232 0.500 0.500
Cd1 0.212 0.500 0.000
Pd1 0.000 0.000 0.260
Pd2 0.250 0.250 0.260

# Sr2CaPr PBE relaxed
# ΔE to the lowest computed polymorph: 0.031 eV per atom
# formation energy from the elements: 0.13 eV/atom
data_Sr2CaPr
_chemical_formula_sum 'Sr2 Ca1 Pr1'
_space_group_name_H-M_alt 'P 4/m m m'
_space_group_IT_number 123
_space_group_name_Hall '-P 4 2'
_cell_length_a 6.343
_cell_length_b 6.343
_cell_length_c 4.430
_cell_angle_alpha 90.00
_cell_angle_beta 90.00
_cell_angle_gamma 90.00
loop_
_atom_site_label
_atom_site_fract_x
_atom_site_fract_y
_atom_site_fract_z
Sr1 0.000 0.500 0.000
Ca1 0.000 0.000 0.500
Pr1 0.500 0.500 0.500

# NbCo2PPt PBE relaxed
# formation energy from the elements: 0.15 eV/atom
data_NbCo2PPt
_chemical_formula_sum 'Nb1 Co2 P1 Pt1'
_space_group_name_H-M_alt 'P 4/m m m'
_space_group_IT_number 123
_space_group_name_Hall '-P 4 2'
_cell_length_a 4.099
_cell_length_b 4.099
_cell_length_c 4.656
_cell_angle_alpha 90.00
_cell_angle_beta 90.00
_cell_angle_gamma 90.00
loop_
_atom_site_label
_atom_site_fract_x
_atom_site_fract_y
_atom_site_fract_z
Nb1 0.000 0.000 0.000
Co1 0.000 0.500 0.500
P1 0.000 0.000 0.500
Pt1 0.500 0.500 0.000

# CaZnSnIr PBE relaxed
# formation energy from the elements: -0.28 eV/atom
data_CaZnSnIr
_chemical_formula_sum 'Ca4 Zn4 Sn4 Ir4'
_space_group_name_H-M_alt 'F -4 3 m'
_space_group_IT_number 216
_space_group_name_Hall 'F -4 2 3'
_cell_length_a 6.699
_cell_length_b 6.699
_cell_length_c 6.699
_cell_angle_alpha 90.00
_cell_angle_beta 90.00
_cell_angle_gamma 90.00
loop_
_atom_site_label
_atom_site_fract_x
_atom_site_fract_y
_atom_site_fract_z
Ca1 0.000 0.000 0.000
Zn1 0.250 0.250 0.750
Sn1 0.250 0.250 0.250
Ir1 0.000 0.000 0.500

# RuRhC2Br PBE relaxed
# ΔE_f (raw): 1657 meV per atom
data_RuRhC2Br
_chemical_formula_sum 'Ru1 Rh1 C2 Br1'
_space_group_name_H-M_alt 'P 4/m m m'
_space_group_IT_number 123
_space_group_name_Hall '-P 4 2'
_cell_length_a 3.872
_cell_length_b 3.872
_cell_length_c 5.436
_cell_angle_alpha 90.00
_cell_angle_beta 90.00
_cell_angle_gamma 90.00
loop_
_atom_site_label
_atom_site_fract_x
_atom_site_fract_y
_atom_site_fract_z
Ru1 0.000 0.000 0.000
Rh1 0.500 0.500 0.500
C1 0.000 0.500 0.000
Br1 0.000 0.000 0.500

# SrTaC3 PBE relaxed
# ΔE to the lowest computed polymorph: 2.615 eV per atom
# formation energy from the elements: 3.50 eV/atom
data_SrTaC3
_chemical_formula_sum 'Sr1 Ta1 C3'
_space_group_name_H-M_alt 'P m -3 m'
_space_group_IT_number 221
_space_group_name_Hall '-P 4 2 3'
_cell_length_a 4.204
_cell_length_b 4.204
_cell_length_c 4.204
_cell_angle_alpha 90.00
_cell_angle_beta 90.00
_cell_angle_gamma 90.00
loop_
_atom_site_label
_atom_site_fract_x
_atom_site_fract_y
_atom_site_fract_z
Sr1 0.000 0.000 0.000
Ta1 0.500 0.500 0.500
C1 0.000 0.000 0.500

# Sc3CuGe3 PBE relaxed
# ΔE to the lowest computed polymorph: 0.000 eV per atom
# formation energy from the elements: -0.73 eV/atom
data_Sc3CuGe3
_chemical_formula_sum 'Sc12 Cu4 Ge12'
_space_group_name_H-M_alt 'C 1 2/m 1'
_space_group_IT_number 12
_space_group_name_Hall '-C 2y'
_cell_length_a 10.102
_cell_length_b 4.072
_cell_length_c 13.156
_cell_angle_alpha 90.00
_cell_angle_beta 109.77
_cell_angle_gamma 90.00
loop_
_atom_site_label
_atom_site_fract_x
_atom_site_fract_y
_atom_site_fract_z
Sc1 0.028 0.000 0.380
Sc2 0.100 0.000 0.922
Sc3 0.238 0.000 0.224
Cu1 0.236 0.500 0.394
Ge1 0.023 0.500 0.232
Ge2 0.127 0.500 0.076
Ge3 0.134 0.500 0.550

# La2Pm6Zn PBE relaxed
# formation energy from the elements: 0.09 eV/atom
data_La2Pm6Zn
_chemical_formula_sum 'La4 Pm12 Zn2'
_space_group_name_H-M_alt 'C 1 2/m 1'
_space_group_IT_number 12
_space_group_name_Hall '-C 2y'
_cell_length_a 17.554
_cell_length_b 9.715
_cell_length_c 3.589
_cell_angle_alpha 90.00
_cell_angle_beta 90.20
_cell_angle_gamma 90.00
loop_
_atom_site_label
_atom_site_fract_x
_atom_site_fract_y
_atom_site_fract_z
La1 0.170 0.000 0.496
Pm1 0.000 0.229 0.500
Pm2 0.163 0.330 0.000
Zn1 0.000 0.500 0.000

# POsN2 PBE relaxed
# ΔE_f (raw): 463 meV per atom
data_POsN2
_chemical_formula_sum 'P1 Os1 N2'
_space_group_name_H-M_alt 'P 1'
_space_group_IT_number 1
_space_group_name_Hall 'P 1'
_cell_length_a 3.108
_cell_length_b 4.240
_cell_length_c 4.580
_cell_angle_alpha 67.13
_cell_angle_beta 70.45
_cell_angle_gamma 68.96
loop_
_atom_site_label
_atom_site_fract_x
_atom_site_fract_y
_atom_site_fract_z
P1 0.000 0.000 0.000
Os1 0.735 0.640 0.881
N1 0.647 0.347 0.353
N2 0.785 0.010 0.416

# Ga2BRh6 PBE relaxed
# formation energy from the elements: -0.36 eV/atom
data_Ga2BRh6
_chemical_formula_sum 'Ga4 B2 Rh12'
_space_group_name_H-M_alt 'P 63 m c'
_space_group_IT_number 186
_space_group_name_Hall 'P 6c -2c'
_cell_length_a 5.6241
_cell_length_b 5.6241
_cell_length_c 9.0091
_cell_angle_alpha 90.00
_cell_angle_beta 90.00
_cell_angle_gamma 120.00
loop_
_atom_site_label
_atom_site_fract_x
_atom_site_fract_y
_atom_site_fract_z
Ga1 0.0000 0.0000 0.0000
Ga2 0.3333 0.6667 0.2431
B1 0.3333 0.6667 0.6183
Rh1 0.0098 0.5049 0.9893
Rh2 0.1600 0.3200 0.7479

# Sc2Tl2SbSe6 PBE relaxed
# ΔE_f (raw): -958 meV per atom
data_Sc2Tl2SbSe6
_chemical_formula_sum 'Sc4 Tl4 Sb2 Se12'
_space_group_name_H-M_alt 'C 1 2/m 1'
_space_group_IT_number 12
_space_group_name_Hall '-C 2y'
_cell_length_a 6.884
_cell_length_b 11.996
_cell_length_c 8.063
_cell_angle_alpha 90.00
_cell_angle_beta 106.90
_cell_angle_gamma 90.00
loop_
_atom_site_label
_atom_site_fract_x
_atom_site_fract_y
_atom_site_fract_z
Sc1 0.000 0.170 0.000
Tl1 0.000 0.335 0.500
Sb1 0.000 0.500 0.000
Se1 0.223 0.000 0.195
Se2 0.239 0.330 0.199

# Ca2OsPb PBE relaxed
# formation energy from the elements: 0.20 eV/atom
data_Ca2OsPb
_chemical_formula_sum 'Ca4 Os2 Pb2'
_space_group_name_H-M_alt 'C 1 m 1'
_space_group_IT_number 8
_space_group_name_Hall 'C -2y'
_cell_length_a 12.163
_cell_length_b 3.579
_cell_length_c 5.183
_cell_angle_alpha 90.00
_cell_angle_beta 115.03
_cell_angle_gamma 90.00
loop_
_atom_site_label
_atom_site_fract_x
_atom_site_fract_y
_atom_site_fract_z
Ca1 0.000 0.000 0.000
Ca2 0.199 0.000 0.698
Os1 0.479 0.000 0.480
Pb1 0.289 0.500 0.288

Number 1: energy -3.566 eV/atom, size of the total moment 0.00 Bohr magnetons per cell, calculated volume 446.1 Å³ per cell. Number 2: energy -2.408 eV/atom, size of the total moment 0.00 Bohr magnetons per cell, calculated volume 178.2 Å³ per cell. Number 3: energy -6.993 eV/atom, size of the total moment 2.47 Bohr magnetons per cell, calculated volume 78.2 Å³ per cell. Number 4: energy -4.315 eV/atom, size of the total moment 0.00 Bohr magnetons per cell, calculated volume 300.7 Å³ per cell. Number 5: energy -5.692 eV/atom, size of the total moment 0.67 Bohr magnetons per cell, calculated volume 81.5 Å³ per cell. Number 6: energy -4.737 eV/atom, size of the total moment 0.00 Bohr magnetons per cell, calculated volume 74.3 Å³ per cell. Number 7: energy -6.005 eV/atom, size of the total moment 0.00 Bohr magnetons per cell, calculated volume 509.3 Å³ per cell. Number 8: energy -4.313 eV/atom, size of the total moment 0.00 Bohr magnetons per cell, calculated volume 612.1 Å³ per cell. Number 9: energy -7.859 eV/atom, size of the total moment 0.00 Bohr magnetons per cell, calculated volume 50.5 Å³ per cell. Number 10: energy -6.673 eV/atom, size of the total moment 0.00 Bohr magnetons per cell, calculated volume 246.8 Å³ per cell. Number 11: energy -4.815 eV/atom, size of the total moment 0.00 Bohr magnetons per cell, calculated volume 637.1 Å³ per cell. Number 12: energy -4.536 eV/atom, size of the total moment 0.00 Bohr magnetons per cell, calculated volume 204.4 Å³ per cell.